1.
A PBEsol-optimized structure of EuCuSb, computed with meta-GGA SCAN.

The uncorrected formation energy comes out at -0.792 eV/atom. The calculated volume comes out at 139.53 Å³/cell. The calculation puts the total DFT energy (no corrections) at -217.09 eV/cell. The space group is P6_3/mmc. The density of states at the Fermi level comes out at 17.9 states/eV per cell.

Lattice parameters (Å, degrees): 4.4293 4.4293 8.2122 90.00 90.00 120.00
With the nearest neighbours (Å) after each atom.
Atoms (fractional coordinates):
Eu (0.0000, 0.0000, 0.0000)  6 Sb 3.28, 6 Cu 3.28
Eu (0.0000, 0.0000, 0.5000)  6 Sb 3.28, 6 Cu 3.28
Sb (0.6667, 0.3333, 0.7500)  3 Cu 2.56
Sb (0.3333, 0.6667, 0.2500)  3 Cu 2.56
Cu (0.6667, 0.3333, 0.2500)  3 Sb 2.56
Cu (0.3333, 0.6667, 0.7500)  3 Sb 2.56

=====

2.
A PBEsol-optimized structure of Eu3Cu8Sn4, computed with meta-GGA SCAN.

The calculated volume comes out at 546.57 Å³/cell. The calculation puts the total DFT energy (no corrections) at -863.22 eV/cell. The space group is P6_3mc. The density of states at the Fermi level comes out at 48.5 states/eV per cell. The formation energy from the elements comes out at -0.3465 eV/atom.

Lattice parameters (Å, degrees): 7.6700 9.0711 9.0711 120.00 90.00 90.00
With the nearest neighbours (Å) after each atom.
Atoms (fractional coordinates):
Eu (0.9986, 0.5261, 0.4739)  8 Cu 3.16-3.53, 6 Sn 3.24-3.34
Eu (0.4986, 0.4739, 0.9478)  8 Cu 3.16-3.53, 6 Sn 3.24-3.34
Eu (0.4986, 0.0522, 0.5261)  8 Cu 3.16-3.53, 6 Sn 3.24-3.34
Eu (0.9986, 0.9478, 0.4739)  8 Cu 3.16-3.53, 6 Sn 3.24-3.34
Eu (0.9986, 0.5261, 0.0522)  8 Cu 3.16-3.53, 6 Sn 3.24-3.34
Eu (0.4986, 0.4739, 0.5261)  8 Cu 3.16-3.53, 6 Sn 3.24-3.34
Cu (0.9788, 0.2005, 0.1002)  7 Cu 2.47-2.73, 3 Sn 2.65-2.70
Cu (0.7265, 0.0000, 0.0000)  9 Cu 2.47-2.59, 3 Sn 2.69
Cu (0.2265, 0.0000, 0.0000)  9 Cu 2.47-2.59, 3 Sn 2.69
Cu (0.3253, 0.6667, 0.3333)  4 Sn 2.61-2.73
Cu (0.8253, 0.3333, 0.6667)  4 Sn 2.61-2.73
Cu (0.4788, 0.1002, 0.8998)  7 Cu 2.47-2.73, 3 Sn 2.65-2.70
Cu (0.6719, 0.8374, 0.1626)  4 Cu 2.55-2.68, 3 Sn 2.68-2.77
Cu (0.1719, 0.1626, 0.3252)  4 Cu 2.55-2.68, 3 Sn 2.68-2.77
Cu (0.1719, 0.6748, 0.8374)  4 Cu 2.55-2.68, 3 Sn 2.68-2.77
Cu (0.6719, 0.3252, 0.1626)  4 Cu 2.55-2.68, 3 Sn 2.68-2.77
Cu (0.6719, 0.8374, 0.6748)  4 Cu 2.55-2.68, 3 Sn 2.68-2.77
Cu (0.9788, 0.8998, 0.7995)  7 Cu 2.47-2.73, 3 Sn 2.65-2.70
Cu (0.9788, 0.8998, 0.1002)  7 Cu 2.47-2.73, 3 Sn 2.65-2.70
Cu (0.4788, 0.1002, 0.2005)  7 Cu 2.47-2.73, 3 Sn 2.65-2.70
Cu (0.4788, 0.7995, 0.8998)  7 Cu 2.47-2.73, 3 Sn 2.65-2.70
Cu (0.1719, 0.1626, 0.8374)  4 Cu 2.55-2.68, 3 Sn 2.68-2.77
Sn (0.7953, 0.1680, 0.3360)  8 Cu 2.61-2.89
Sn (0.7953, 0.6640, 0.8320)  8 Cu 2.61-2.89
Sn (0.2953, 0.3360, 0.1680)  8 Cu 2.61-2.89
Sn (0.2953, 0.8320, 0.6640)  8 Cu 2.61-2.89
Sn (0.7953, 0.1680, 0.8320)  8 Cu 2.61-2.89
Sn (0.1817, 0.3333, 0.6667)  4 Cu 2.68-2.73
Sn (0.2953, 0.8320, 0.1680)  8 Cu 2.61-2.89
Sn (0.6817, 0.6667, 0.3333)  4 Cu 2.68-2.73

=====

> Number 2 is which compound?

Eu3Cu8Sn4

=====

> Among the records above, which one has the lowest calculated volume?

EuCuSb

=====

> Which formula does entry 2 have?

Eu3Cu8Sn4

=====

> Look up the calculated volume of the second one.

546.57 Å³/cell